Computed, not measured: an optimized crystal structure of PaTe3Pd at the PBE level of DFT.

Values from the calculation:
- E above lowest polymorph: 84 meV per atom
- Spin magnetization: 0.7 μB per formula unit
- ΔE_f (raw): -0.508 eV/atom
- Symmetry: P2_1/c (14)

Unit cell a=9.4220 b=6.2782 c=10.0527 alpha=90.00 beta=109.75 gamma=90.00
Last column: nearest neighbours and their distance in Å.
Sites, in units of the cell vectors:
Pa 0.0820 0.1480 0.1731  8 Te 3.06-3.26
Pa 0.0820 0.3520 0.6731  8 Te 3.06-3.26
Pa 0.9180 0.6480 0.3269  8 Te 3.06-3.26
Pa 0.9180 0.8520 0.8269  8 Te 3.06-3.26
Te 0.1147 0.6476 0.1236  1 Pd 2.91, 4 Pa 3.19-3.21
Te 0.1147 0.8524 0.6236  1 Pd 2.91, 4 Pa 3.19-3.21
Te 0.2381 0.1053 0.9526  1 Pd 2.68
Te 0.2381 0.3947 0.4526  1 Pd 2.68
Te 0.4102 0.5620 0.8268  3 Pd 2.68-2.81
Te 0.4102 0.9380 0.3268  3 Pd 2.68-2.81
Te 0.5898 0.0620 0.6732  3 Pd 2.68-2.81
Te 0.5898 0.4380 0.1732  3 Pd 2.68-2.81
Te 0.7619 0.6053 0.5474  1 Pd 2.68
Te 0.7619 0.8947 0.0474  1 Pd 2.68
Te 0.8853 0.1476 0.3764  1 Pd 2.91, 4 Pa 3.19-3.21
Te 0.8853 0.3524 0.8764  1 Pd 2.91, 4 Pa 3.19-3.21
Pd 0.3899 0.7489 0.5668  5 Te 2.68-2.91
Pd 0.3899 0.7511 0.0668  5 Te 2.68-2.91
Pd 0.6101 0.2489 0.9332  5 Te 2.68-2.91
Pd 0.6101 0.2511 0.4332  5 Te 2.68-2.91



Computed, not measured: an optimized crystal structure of YThSN at the PBE level of DFT.

Values from the calculation:
- Spin magnetization: 0.0 μB per formula unit
- ΔE_f (raw): -1.692 eV/atom
- Symmetry: P3m1 (156)

Unit cell a=3.6841 b=3.6841 c=6.5721 alpha=90.00 beta=90.00 gamma=120.00
Last column: nearest neighbours and their distance in Å.
Sites, in units of the cell vectors:
Y 0.0000 0.0000 0.0000  3 N 2.56, 3 S 2.79
Th 0.6667 0.3333 0.4203  3 N 2.52
S 0.3333 0.6667 0.7257  3 Y 2.79, 3 Th 2.92
N 0.3333 0.6667 0.2155  3 Th 2.52, 3 Y 2.56



Computed, not measured: an optimized crystal structure of Sc3BiC at the PBE level of DFT.

Values from the calculation:
- ΔH_f (0 K): -0.4196 eV per atom
- Spin magnetization: 0.0 μB per formula unit
- Symmetry: R-3 (148)

Unit cell a=8.0061 b=8.0061 c=8.0061 alpha=43.49 beta=43.49 gamma=43.49
Last column: nearest neighbours and their distance in Å.
Sites, in units of the cell vectors:
Sc 0.0469 0.4036 0.7153  2 C 2.27-2.30
Sc 0.2847 0.9531 0.5964  2 C 2.27-2.30
Sc 0.4036 0.7153 0.0469  2 C 2.27-2.30
Sc 0.5964 0.2847 0.9531  2 C 2.27-2.30
Sc 0.7153 0.0469 0.4036  2 C 2.27-2.30
Sc 0.9531 0.5964 0.2847  2 C 2.27-2.30
Bi 0.1631 0.1631 0.1631  6 Sc 3.11-3.14, 3 Bi 3.43
Bi 0.8369 0.8369 0.8369  6 Sc 3.11-3.14, 3 Bi 3.43
C 0.3375 0.3375 0.3375  6 Sc 2.27-2.30
C 0.6625 0.6625 0.6625  6 Sc 2.27-2.30



Computed, not measured: an optimized crystal structure of Sr2UCdSe5 at the PBE level of DFT.

Values from the calculation:
- Spin magnetization: 2.0 μB per formula unit
- ΔE_f (raw): -1.410 eV/atom
- Symmetry: Cmc2_1 (36)

Unit cell a=9.3487 b=9.3487 c=13.2400 alpha=90.00 beta=90.00 gamma=153.64
Last column: nearest neighbours and their distance in Å.
Sites, in units of the cell vectors:
Sr 0.1055 0.8945 0.5000  6 Se 3.14-3.34
Sr 0.1259 0.8741 0.1336  8 Se 3.14-3.50
Sr 0.8741 0.1259 0.6336  8 Se 3.14-3.50
Sr 0.8945 0.1055 0.0000  6 Se 3.14-3.34
U 0.2110 0.7890 0.8396  6 Se 2.79-2.88
U 0.7890 0.2110 0.3396  6 Se 2.79-2.88
Cd 0.4516 0.5484 0.2691  3 Se 2.57-2.64
Cd 0.5484 0.4516 0.7691  3 Se 2.57-2.64
Se 0.0585 0.9415 0.8863  2 Cd 2.64, 1 U 2.84
Se 0.2827 0.7173 0.4840  2 U 2.87
Se 0.3021 0.6979 0.1941  2 U 2.88, 1 Cd 2.90
Se 0.3640 0.6360 0.8229  1 U 2.79
Se 0.4963 0.5037 0.5884  1 Cd 2.57
Se 0.5037 0.4963 0.0884  1 Cd 2.57
Se 0.6360 0.3640 0.3229  1 U 2.79
Se 0.6979 0.3021 0.6941  2 U 2.88, 1 Cd 2.90
Se 0.7173 0.2827 0.9840  2 U 2.87
Se 0.9415 0.0585 0.3863  2 Cd 2.64, 1 U 2.84



Which formula does entry 4 have? Sr2UCdSe5